(1)
The following is a DFT calculation (GGA-PBE) of a geometry-optimized NaRuC structure.

POSCAR file:
```
NaRuC
1.0
3.340 0.000 0.000
-1.670 2.893 0.000
0.000 0.000 5.116
Na Ru C
1 1 1
direct
0.000 0.000 0.000
0.667 0.333 0.500
0.000 0.000 0.500
```

Calculated values
total magnetization = 0.00 Bohr magnetons per cell
raw total energy = -6.27 eV per atom
space group = No. 187
energy above the most stable polymorph in this dataset = 34.1 meV per atom
calculated volume = 49.43 Å³ per cell
energy of formation from the pure elements = 1.022 eV per formula unit

=====

(2)
The following is a DFT calculation (GGA-PBE) of a geometry-optimized Nd2PaGe3Ir4 structure.

POSCAR file:
```
Nd2PaGe3Ir4
1.0
4.275 0.000 0.000
0.000 4.275 0.000
0.000 0.000 11.042
Nd Pa Ge Ir
2 1 3 4
direct
0.000 0.500 0.224
0.500 0.000 0.776
0.000 0.000 0.500
0.000 0.500 0.876
0.500 0.000 0.124
0.500 0.500 0.500
0.000 0.000 0.000
0.000 0.500 0.650
0.500 0.000 0.350
0.500 0.500 0.000
```

Calculated values
total magnetization = 0.00 Bohr magnetons per cell
raw total energy = -7.60 eV per atom
space group = No. 115
calculated volume = 201.83 Å³ per cell
energy of formation from the pure elements = -7.714 eV per formula unit

=====

(3)
The following is a DFT calculation (GGA-PBE) of a geometry-optimized MgSi2Cl structure.

POSCAR file:
```
MgSi2Cl
1.0
-1.505 2.000 6.441
1.505 -2.000 6.441
1.505 2.000 -6.441
Mg Si Cl
1 2 1
direct
0.000 0.000 0.000
0.212 0.712 0.500
0.788 0.288 0.500
0.500 0.500 0.000
```

Calculated values
total magnetization = 0.00 Bohr magnetons per cell
raw total energy = -3.63 eV per atom
raw formation energy = -0.061 eV per atom
space group = No. 71
energy above the most stable polymorph in this dataset = 419.7 meV per atom
calculated volume = 77.55 Å³ per cell

=====

(4)
The following is a DFT calculation (GGA-PBE) of a geometry-optimized Sr2MgIn2 structure.

POSCAR file:
```
Sr2MgIn2
1.0
8.069 0.000 0.000
0.000 8.069 0.000
0.000 0.000 5.177
Sr Mg In
4 2 4
direct
0.170 0.330 0.000
0.330 0.830 0.000
0.670 0.170 0.000
0.830 0.670 0.000
0.000 0.000 0.500
0.500 0.500 0.500
0.132 0.632 0.500
0.368 0.132 0.500
0.632 0.868 0.500
0.868 0.368 0.500
```

Calculated values
total magnetization = 0.00 Bohr magnetons per cell
raw total energy = -2.39 eV per atom
space group = No. 127
energy above the most stable polymorph in this dataset = 53.8 meV per atom
calculated volume = 337.09 Å³ per cell
energy of formation from the pure elements = -1.502 eV per formula unit